A geometry-optimized KZnGaAu2 structure, computed with PBE.

Unit cell a=6.5209 b=6.5209 c=6.5209 alpha=139.65 beta=139.65 gamma=58.38
Fractional coordinates of all 5 atoms:
K 0.0000 0.0000 0.0000
Zn 0.2500 0.7500 0.5000
Ga 0.7500 0.2500 0.5000
Au 0.3752 0.3752 0.0000
Au 0.6248 0.6248 0.0000

Summary:
calculated volume: 115 Å³/cell
VASP energy: -2.662 eV per atom
space group: I-4m2 (119)



A geometry-optimized Sr2Au3 structure, computed with PBE.

Unit cell a=5.9494 b=5.9494 c=4.4507 alpha=111.60 beta=111.60 gamma=69.03
Fractional coordinates of all 5 atoms:
Sr 0.0000 0.0000 0.0000
Sr 0.5722 0.5722 0.5759
Au 0.2851 0.2851 0.7869
Au 0.5732 0.9991 0.2878
Au 0.9991 0.5732 0.2878

Summary:
calculated volume: 132 Å³/cell
excess energy over the best structure of this formula in the dataset: 0 meV/atom
space group: Cm (8)



A geometry-optimized ErTmNi2C2N2 structure, computed with PBE.

Unit cell a=3.4189 b=3.4189 c=7.2815 alpha=90.00 beta=90.00 gamma=90.00
Fractional coordinates of all 8 atoms:
Er 0.0000 0.0000 0.0000
Tm 0.5000 0.5000 0.3437
Ni 0.0000 0.5000 0.6717
Ni 0.5000 0.0000 0.6717
C 0.0000 0.0000 0.5101
C 0.5000 0.5000 0.8350
N 0.0000 0.0000 0.3166
N 0.5000 0.5000 0.0287

Summary:
calculated volume: 85 Å³/cell
VASP energy: -7.574 eV per atom
space group: P4mm (99)



A geometry-optimized TbYFe2Sn structure, computed with PBE.

Unit cell a=3.8071 b=7.2627 c=7.2627 alpha=31.12 beta=90.00 gamma=90.00
Fractional coordinates of all 5 atoms:
Tb 0.0000 0.0000 0.0000
Y 0.0000 0.2683 0.2683
Fe 0.5000 0.4317 0.4317
Fe 0.5000 0.8387 0.8387
Sn 0.5000 0.6349 0.6349

Summary:
calculated volume: 104 Å³/cell
VASP energy: -6.628 eV per atom
space group: Amm2 (38)



A geometry-optimized CdB4Os structure, computed with PBE.

Unit cell a=4.7331 b=4.7331 c=4.7331 alpha=142.38 beta=112.08 gamma=80.33
Fractional coordinates of all 6 atoms:
Cd 0.0000 0.0000 0.0000
B 0.0887 0.7501 0.3386
B 0.4115 0.7501 0.6614
B 0.5885 0.2499 0.3386
B 0.9113 0.2499 0.6614
Os 0.5000 0.5000 0.0000

Summary:
calculated volume: 58 Å³/cell
excess energy over the best structure of this formula in the dataset: 44 meV/atom
space group: Immm (71)



A geometry-optimized U20Si16C3 structure, computed with PBE.

Unit cell a=10.3379 b=10.3379 c=7.8266 alpha=90.00 beta=90.00 gamma=120.00
Fractional coordinates of all 39 atoms:
U 0.0000 0.0000 0.0000
U 0.0000 0.0000 0.5000
U 0.0000 0.5000 0.1998
U 0.0000 0.5000 0.8002
U 0.2121 0.4241 0.0000
U 0.2121 0.7879 0.0000
U 0.2169 0.4339 0.5000
U 0.2169 0.7831 0.5000
U 0.4241 0.2121 0.0000
U 0.4339 0.2169 0.5000
U 0.5000 0.0000 0.1998
U 0.5000 0.0000 0.8002
U 0.5000 0.5000 0.1998
U 0.5000 0.5000 0.8002
U 0.5661 0.7831 0.5000
U 0.5759 0.7879 0.0000
U 0.7831 0.2169 0.5000
U 0.7831 0.5661 0.5000
U 0.7879 0.2121 0.0000
U 0.7879 0.5759 0.0000
Si 0.0000 0.2267 0.2522
Si 0.0000 0.2267 0.7478
Si 0.0000 0.7733 0.2522
Si 0.0000 0.7733 0.7478
Si 0.2267 0.0000 0.2522
Si 0.2267 0.0000 0.7478
Si 0.2267 0.2267 0.2522
Si 0.2267 0.2267 0.7478
Si 0.3333 0.6667 0.2441
Si 0.3333 0.6667 0.7559
Si 0.6667 0.3333 0.2441
Si 0.6667 0.3333 0.7559
Si 0.7733 0.0000 0.2522
Si 0.7733 0.0000 0.7478
Si 0.7733 0.7733 0.2522
Si 0.7733 0.7733 0.7478
C 0.0000 0.5000 0.5000
C 0.5000 0.0000 0.5000
C 0.5000 0.5000 0.5000

Summary:
calculated volume: 724 Å³/cell
VASP energy: -8.995 eV per atom
space group: P6/mmm (191)



A geometry-optimized Cs2TlCoCl6 structure, computed with PBE.

Unit cell a=7.4330 b=7.4330 c=7.4330 alpha=60.00 beta=60.00 gamma=60.00
Fractional coordinates of all 10 atoms:
Cs 0.2500 0.2500 0.2500
Cs 0.7500 0.7500 0.7500
Tl 0.0000 0.0000 0.0000
Co 0.5000 0.5000 0.5000
Cl 0.2829 0.2829 0.7171
Cl 0.2829 0.7171 0.2829
Cl 0.2829 0.7171 0.7171
Cl 0.7171 0.2829 0.2829
Cl 0.7171 0.2829 0.7171
Cl 0.7171 0.7171 0.2829

Summary:
calculated volume: 290 Å³/cell
VASP energy: -3.473 eV per atom
space group: Fm-3m (225)



A geometry-optimized PaInFe structure, computed with PBE.

Unit cell a=4.6329 b=4.6329 c=4.6329 alpha=60.00 beta=60.00 gamma=60.00
Fractional coordinates of all 3 atoms:
Pa 0.0000 0.0000 0.0000
In 0.7500 0.7500 0.7500
Fe 0.5000 0.5000 0.5000

Summary:
calculated volume: 70 Å³/cell
VASP energy: -5.802 eV per atom
space group: F-43m (216)



A geometry-optimized KTbSeO structure, computed with PBE.

Unit cell a=4.5669 b=8.2353 c=6.5751 alpha=90.00 beta=90.00 gamma=90.00
Fractional coordinates of all 8 atoms:
K 0.0000 0.2016 0.0000
K 0.0000 0.7984 0.5000
Tb 0.5000 0.3777 0.5779
Tb 0.5000 0.6223 0.0779
Se 0.0000 0.1984 0.4898
Se 0.0000 0.8016 0.9898
O 0.5000 0.4085 0.8996
O 0.5000 0.5915 0.3996

Summary:
calculated volume: 247 Å³/cell
excess energy over the best structure of this formula in the dataset: 107 meV/atom
space group: Pmc2_1 (26)



A geometry-optimized PrAg3Te3 structure, computed with PBE.

Unit cell a=8.6817 b=8.6817 c=8.6817 alpha=54.58 beta=54.58 gamma=54.58
Fractional coordinates of all 14 atoms:
Pr 0.1660 0.1660 0.1660
Pr 0.8340 0.8340 0.8340
Ag 0.0159 0.7370 0.3709
Ag 0.2630 0.6291 0.9841
Ag 0.3709 0.0159 0.7370
Ag 0.6291 0.9841 0.2630
Ag 0.7370 0.3709 0.0159
Ag 0.9841 0.2630 0.6291
Te 0.1062 0.4251 0.7381
Te 0.2619 0.8938 0.5749
Te 0.4251 0.7381 0.1062
Te 0.5749 0.2619 0.8938
Te 0.7381 0.1062 0.4251
Te 0.8938 0.5749 0.2619

Summary:
calculated volume: 404 Å³/cell
VASP energy: -3.828 eV per atom
space group: R-3 (148)



A geometry-optimized GdHo2Mg3AlGa2 structure, computed with PBE.

Unit cell a=4.4984 b=7.2814 c=7.2814 alpha=120.27 beta=90.00 gamma=90.00
Fractional coordinates of all 9 atoms:
Gd 0.0000 0.0000 0.0000
Ho 0.0000 0.4345 0.8689
Ho 0.0000 0.8689 0.4345
Mg 0.5000 0.1909 0.4353
Mg 0.5000 0.4353 0.1909
Mg 0.5000 0.6791 0.6791
Al 0.0000 0.4375 0.4375
Ga 0.5000 0.1024 0.7667
Ga 0.5000 0.7667 0.1024

Summary:
calculated volume: 206 Å³/cell
VASP energy: -3.575 eV per atom
space group: Amm2 (38)



A geometry-optimized BeCu2Mo structure, computed with PBE.

Unit cell a=4.0708 b=4.0708 c=4.0708 alpha=60.00 beta=60.00 gamma=60.00
Fractional coordinates of all 4 atoms:
Be 0.0000 0.0000 0.0000
Cu 0.2500 0.2500 0.2500
Cu 0.5000 0.5000 0.5000
Mo 0.7500 0.7500 0.7500

Summary:
calculated volume: 48 Å³/cell
VASP energy: -5.204 eV per atom
space group: F-43m (216)